a:
Material: Pa2FeCo
Method: DFT, GGA-PBE
State: optimized geometry

Cell: 3.2766 3.2766 6.7265 Å, 90.00 90.00 90.00°
Last column: nearest neighbours and their distance in Å.
Fractional positions:
Pa (0.0000, 0.0000, 0.2486)  4 Co 2.86, 4 Fe 2.87
Pa (0.0000, 0.0000, 0.7514)  4 Co 2.86, 4 Fe 2.87
Fe (0.5000, 0.5000, 0.5000)  8 Pa 2.87
Co (0.5000, 0.5000, 0.0000)  8 Pa 2.86


b:
Material: Pa2FeCo
Method: DFT, GGA-PBE
State: optimized geometry

Cell: 4.6745 4.6745 4.6745 Å, 60.00 60.00 60.00°
Last column: nearest neighbours and their distance in Å.
Fractional positions:
Pa (0.2500, 0.2500, 0.2500)  4 Fe 2.86, 4 Co 2.86
Pa (0.7500, 0.7500, 0.7500)  4 Fe 2.86, 4 Co 2.86
Fe (0.0000, 0.0000, 0.0000)  8 Pa 2.86
Co (0.5000, 0.5000, 0.5000)  8 Pa 2.86


Ordering by calculated energy gives the sequence a, b, with the first entry being the most stable.